# 1
# AcLaMgSi | Alexandria | GGA-PBE | relaxed
# Formation energy without anion corrections ... -0.2219 eV per atom
# Theoretical density ... 6.00 g cm⁻³
# Electronic total energy ... -0.156 Ha/atom
data_AcLaMgSi
_chemical_formula_sum 'Ac4 La4 Mg4 Si4'
_symmetry_space_group_name_H-M 'F -4 3 m'
_symmetry_Int_Tables_number 216
_symmetry_space_group_name_Hall 'F -4 2 3'
_cell_length_a 7.737
_cell_length_b 7.737
_cell_length_c 7.737
_cell_angle_alpha 90.00
_cell_angle_beta 90.00
_cell_angle_gamma 90.00
loop_
_atom_site_label
_atom_site_type_symbol
_atom_site_fract_x
_atom_site_fract_y
_atom_site_fract_z
Ac1 Ac 0.000 0.000 0.000
La1 La 0.000 0.000 0.500
Mg1 Mg 0.250 0.250 0.750
Si1 Si 0.250 0.250 0.250

=====

# 2
# CoPtSe | Alexandria | GGA-PBE | relaxed
# Formation energy without anion corrections ... 0.1946 eV per atom
# Theoretical density ... 11.02 g cm⁻³
# Electronic total energy ... -0.197 Ha/atom
# Polymorph energy (0 for the lowest one) ... 0.0546 eV/atom
data_CoPtSe
_chemical_formula_sum 'Co4 Pt4 Se4'
_symmetry_space_group_name_H-M 'F -4 3 m'
_symmetry_Int_Tables_number 216
_symmetry_space_group_name_Hall 'F -4 2 3'
_cell_length_a 5.855
_cell_length_b 5.855
_cell_length_c 5.855
_cell_angle_alpha 90.00
_cell_angle_beta 90.00
_cell_angle_gamma 90.00
loop_
_atom_site_label
_atom_site_type_symbol
_atom_site_fract_x
_atom_site_fract_y
_atom_site_fract_z
Co1 Co 0.000 0.000 0.000
Pt1 Pt 0.250 0.250 0.250
Se1 Se 0.250 0.250 0.750

=====

# 3
# PmSm4Hg | Alexandria | GGA-PBE | relaxed
# Formation energy from the elements ... -0.06 eV per atom
# Theoretical density ... 8.14 g cm⁻³
# Electronic total energy ... -0.149 Ha/atom
# Polymorph energy (0 for the lowest one) ... 0.0907 eV/atom
data_PmSm4Hg
_chemical_formula_sum 'Pm4 Sm16 Hg4'
_symmetry_space_group_name_H-M 'C 1 2/c 1'
_symmetry_Int_Tables_number 15
_symmetry_space_group_name_Hall '-C 2yc'
_cell_length_a 8.938
_cell_length_b 14.118
_cell_length_c 6.482
_cell_angle_alpha 90.00
_cell_angle_beta 109.12
_cell_angle_gamma 90.00
loop_
_atom_site_label
_atom_site_type_symbol
_atom_site_fract_x
_atom_site_fract_y
_atom_site_fract_z
Pm1 Pm 0.000 0.093 0.250
Sm1 Sm 0.099 0.312 0.548
Sm2 Sm 0.218 0.116 0.875
Hg1 Hg 0.000 0.499 0.250

=====

# 4
# ZrMoPt | Alexandria | GGA-PBE | relaxed
# Formation energy from the elements ... -0.45 eV per atom
# Theoretical density ... 11.93 g cm⁻³
# Electronic total energy ... -0.328 Ha/atom
# Polymorph energy (0 for the lowest one) ... 0.0759 eV/atom
data_ZrMoPt
_chemical_formula_sum 'Zr4 Mo4 Pt4'
_symmetry_space_group_name_H-M 'C 1 2/m 1'
_symmetry_Int_Tables_number 12
_symmetry_space_group_name_Hall '-C 2y'
_cell_length_a 5.328
_cell_length_b 14.520
_cell_length_c 2.820
_cell_angle_alpha 90.00
_cell_angle_beta 102.62
_cell_angle_gamma 90.00
loop_
_atom_site_label
_atom_site_type_symbol
_atom_site_fract_x
_atom_site_fract_y
_atom_site_fract_z
Zr1 Zr 0.000 0.179 0.000
Mo1 Mo 0.224 0.000 0.751
Pt1 Pt 0.000 0.358 0.500

=====

# 5
# LiMnCu | Alexandria | GGA-PBE | relaxed
# Formation energy from the elements ... 0.28 eV per atom
# Theoretical density ... 5.87 g cm⁻³
# Electronic total energy ... -0.176 Ha/atom
# Polymorph energy (0 for the lowest one) ... 0.1175 eV/atom
data_LiMnCu
_chemical_formula_sum 'Li2 Mn2 Cu2'
_symmetry_space_group_name_H-M 'I 4 m m'
_symmetry_Int_Tables_number 107
_symmetry_space_group_name_Hall 'I 4 -2'
_cell_length_a 2.369
_cell_length_b 2.369
_cell_length_c 12.641
_cell_angle_alpha 90.00
_cell_angle_beta 90.00
_cell_angle_gamma 90.00
loop_
_atom_site_label
_atom_site_type_symbol
_atom_site_fract_x
_atom_site_fract_y
_atom_site_fract_z
Li1 Li 0.000 0.000 0.000
Mn1 Mn 0.000 0.000 0.673
Cu1 Cu 0.000 0.000 0.331

=====

# 6
# YMgGe3 | Alexandria | GGA-PBE | relaxed
# Formation energy from the elements ... 0.61 eV per atom
# Theoretical density ... 3.48 g cm⁻³
# Electronic total energy ... -0.139 Ha/atom
# Polymorph energy (0 for the lowest one) ... 0.3704 eV/atom
data_YMgGe3
_chemical_formula_sum 'Y1 Mg1 Ge3'
_symmetry_space_group_name_H-M 'P m -3 m'
_symmetry_Int_Tables_number 221
_symmetry_space_group_name_Hall '-P 4 2 3'
_cell_length_a 5.405
_cell_length_b 5.405
_cell_length_c 5.405
_cell_angle_alpha 90.00
_cell_angle_beta 90.00
_cell_angle_gamma 90.00
loop_
_atom_site_label
_atom_site_type_symbol
_atom_site_fract_x
_atom_site_fract_y
_atom_site_fract_z
Y1 Y 0.000 0.000 0.000
Mg1 Mg 0.500 0.500 0.500
Ge1 Ge 0.000 0.000 0.500

=====

# 7
# YTmCuPb | Alexandria | GGA-PBE | relaxed
# Formation energy from the elements ... -0.29 eV per atom
# Theoretical density ... 8.96 g cm⁻³
# Electronic total energy ... -0.183 Ha/atom
data_YTmCuPb
_chemical_formula_sum 'Y4 Tm4 Cu4 Pb4'
_symmetry_space_group_name_H-M 'F -4 3 m'
_symmetry_Int_Tables_number 216
_symmetry_space_group_name_Hall 'F -4 2 3'
_cell_length_a 7.317
_cell_length_b 7.317
_cell_length_c 7.317
_cell_angle_alpha 90.00
_cell_angle_beta 90.00
_cell_angle_gamma 90.00
loop_
_atom_site_label
_atom_site_type_symbol
_atom_site_fract_x
_atom_site_fract_y
_atom_site_fract_z
Y1 Y 0.000 0.000 0.000
Tm1 Tm 0.000 0.000 0.500
Cu1 Cu 0.250 0.250 0.750
Pb1 Pb 0.250 0.250 0.250

=====

# 8
# PrNd2Sn | Alexandria | GGA-PBE | relaxed
# Formation energy from the elements ... -0.25 eV per atom
# Theoretical density ... 7.36 g cm⁻³
# Electronic total energy ... -0.178 Ha/atom
# Polymorph energy (0 for the lowest one) ... 0.1997 eV/atom
data_PrNd2Sn
_chemical_formula_sum 'Pr4 Nd8 Sn4'
_symmetry_space_group_name_H-M 'F m -3 m'
_symmetry_Int_Tables_number 225
_symmetry_space_group_name_Hall '-F 4 2 3'
_cell_length_a 7.907
_cell_length_b 7.907
_cell_length_c 7.907
_cell_angle_alpha 90.00
_cell_angle_beta 90.00
_cell_angle_gamma 90.00
loop_
_atom_site_label
_atom_site_type_symbol
_atom_site_fract_x
_atom_site_fract_y
_atom_site_fract_z
Pr1 Pr 0.000 0.000 0.000
Nd1 Nd 0.250 0.250 0.250
Sn1 Sn 0.000 0.000 0.500

=====

# 9
# CrCu2Te | Alexandria | GGA-PBE | relaxed
# Formation energy without anion corrections ... 0.3805 eV per atom
# Theoretical density ... 7.79 g cm⁻³
# Electronic total energy ... -0.179 Ha/atom
data_CrCu2Te
_chemical_formula_sum 'Cr4 Cu8 Te4'
_symmetry_space_group_name_H-M 'F -4 3 m'
_symmetry_Int_Tables_number 216
_symmetry_space_group_name_Hall 'F -4 2 3'
_cell_length_a 6.394
_cell_length_b 6.394
_cell_length_c 6.394
_cell_angle_alpha 90.00
_cell_angle_beta 90.00
_cell_angle_gamma 90.00
loop_
_atom_site_label
_atom_site_type_symbol
_atom_site_fract_x
_atom_site_fract_y
_atom_site_fract_z
Cr1 Cr 0.000 0.000 0.000
Cu1 Cu 0.000 0.000 0.500
Cu2 Cu 0.250 0.250 0.750
Te1 Te 0.250 0.250 0.250

=====

# 10
# MgMn2Se | Alexandria | GGA-PBE | relaxed
# Formation energy without anion corrections ... 0.1119 eV per atom
# Theoretical density ... 5.40 g cm⁻³
# Electronic total energy ... -0.211 Ha/atom
# Polymorph energy (0 for the lowest one) ... 0.0917 eV/atom
data_MgMn2Se
_chemical_formula_sum 'Mg2 Mn4 Se2'
_symmetry_space_group_name_H-M 'C 1 m 1'
_symmetry_Int_Tables_number 8
_symmetry_space_group_name_Hall 'C -2y'
_cell_length_a 10.235
_cell_length_b 3.192
_cell_length_c 4.454
_cell_angle_alpha 90.00
_cell_angle_beta 115.76
_cell_angle_gamma 90.00
loop_
_atom_site_label
_atom_site_type_symbol
_atom_site_fract_x
_atom_site_fract_y
_atom_site_fract_z
Mg1 Mg 0.000 0.000 0.000
Mn1 Mn 0.211 0.000 0.710
Mn2 Mn 0.468 0.000 0.468
Se1 Se 0.268 0.500 0.267

=====

# 11
# PaZn5 | Alexandria | GGA-PBE | relaxed
# Formation energy from the elements ... 0.03 eV per atom
# Theoretical density ... 8.89 g cm⁻³
# Electronic total energy ... -0.096 Ha/atom
data_PaZn5
_chemical_formula_sum 'Pa1 Zn5'
_symmetry_space_group_name_H-M 'P -6 m 2'
_symmetry_Int_Tables_number 187
_symmetry_space_group_name_Hall 'P -6 2'
_cell_length_a 2.9639
_cell_length_b 2.9639
_cell_length_c 13.7050
_cell_angle_alpha 90.00
_cell_angle_beta 90.00
_cell_angle_gamma 120.00
loop_
_atom_site_label
_atom_site_type_symbol
_atom_site_fract_x
_atom_site_fract_y
_atom_site_fract_z
Pa1 Pa 0.0000 0.0000 0.0000
Zn1 Zn 0.0000 0.0000 0.3474
Zn2 Zn 0.6667 0.3333 0.1935
Zn3 Zn 0.6667 0.3333 0.5000

=====

# 12
# SrCaMgSi2 | Alexandria | GGA-PBE | relaxed
# Formation energy without anion corrections ... 0.4470 eV per atom
# Theoretical density ... 2.44 g cm⁻³
# Electronic total energy ... -0.102 Ha/atom
data_SrCaMgSi2
_chemical_formula_sum 'Sr1 Ca1 Mg1 Si2'
_symmetry_space_group_name_H-M 'P 4/m m m'
_symmetry_Int_Tables_number 123
_symmetry_space_group_name_Hall '-P 4 2'
_cell_length_a 5.113
_cell_length_b 5.113
_cell_length_c 5.409
_cell_angle_alpha 90.00
_cell_angle_beta 90.00
_cell_angle_gamma 90.00
loop_
_atom_site_label
_atom_site_type_symbol
_atom_site_fract_x
_atom_site_fract_y
_atom_site_fract_z
Sr1 Sr 0.000 0.000 0.000
Ca1 Ca 0.500 0.500 0.000
Mg1 Mg 0.000 0.000 0.500
Si1 Si 0.000 0.500 0.500